No. 1
Here is a geometry-optimized LiNdGd structure from OQMD. Energies are from PBE.

It has space group F-43m (No. 216), with a = 7.2309 Å, b = 7.2309 Å, c = 7.2309 Å, α = 90.00°, β = 90.00° and γ = 90.00°. The asymmetric unit holds Li at (0.0000, 0.0000, 0.0000), Nd at (0.2500, 0.2500, 0.2500) and Gd at (0.2500, 0.2500, 0.7500).

The total magnetization is 1.6 μB/f.u. Its total DFT energy (no corrections) is -3.285 eV/atom.

***

No. 2
Here is a geometry-optimized BaHf2Fe structure from OQMD. Energies are from PBE.

It has space group F-43m (No. 216), with a = 7.1184 Å, b = 7.1184 Å, c = 7.1184 Å, α = 90.00°, β = 90.00° and γ = 90.00°. The asymmetric unit holds Ba at (0.0000, 0.0000, 0.0000), Hf at (0.0000, 0.0000, 0.5000), Hf at (0.2500, 0.2500, 0.7500) and Fe at (0.2500, 0.2500, 0.2500).

The total magnetization is 3.9 μB/f.u. Its total DFT energy (no corrections) is -6.560 eV/atom.

***

No. 3
Here is a geometry-optimized SmBeB4 structure from OQMD. Energies are from PBE.

It has space group Immm (No. 71), with a = 3.1639 Å, b = 5.2320 Å, c = 7.8846 Å, α = 90.00°, β = 90.00° and γ = 90.00°. The asymmetric unit holds Sm at (0.0000, 0.0000, 0.0000), Be at (0.0000, 0.0000, 0.5000) and B at (0.0000, 0.3258, 0.2568).

The total magnetization is 0.0 μB/f.u. As for the energy relative to the lowest polymorph listed for this composition: 13.28 kJ/mol of atoms.